[1]
Entry from the Alexandria database: crystalline Zr6ZnCd at its relaxed geometry (PBE).

Properties
symmetry	No. 123
formation energy	-0.102	eV per atom
Fermi-level density of states	9.92	states/eV/f.u.

Cell lengths 4.414, 4.414, 8.811 Å; angles 90.00, 90.00, 90.00 degrees
Sites, in units of the cell vectors:
Zr 0.000 0.000 0.000
Zr 0.000 0.000 0.500
Zr 0.000 0.500 0.243
Zr 0.000 0.500 0.757
Zr 0.500 0.000 0.243
Zr 0.500 0.000 0.757
Zn 0.500 0.500 0.000
Cd 0.500 0.500 0.500

***

[2]
Entry from the Alexandria database: crystalline Tb5Nd7Tm at its relaxed geometry (PBE).

Properties
symmetry	No. 44
formation energy	0.232	eV per atom
Fermi-level density of states	21.74	states/eV/f.u.

Cell lengths 8.851, 8.851, 8.851 Å; angles 135.21, 99.95, 96.75 degrees
Sites, in units of the cell vectors:
Tb 0.000 0.000 0.000
Tb 0.236 0.276 0.497
Tb 0.236 0.738 0.960
Tb 0.779 0.276 0.040
Tb 0.779 0.738 0.503
Nd 0.081 0.252 0.829
Nd 0.423 0.252 0.171
Nd 0.497 0.997 0.500
Nd 0.500 0.500 0.000
Nd 0.580 0.756 0.824
Nd 0.810 0.310 0.500
Nd 0.932 0.756 0.176
Tm 0.186 0.686 0.500